(1)
TlGaNi3 | GGA-PBE | optimized geometry

Results
Space-group type: Pm-3m (221)
ρ: 8.84 g/cm3
Spin magnetization: 0.00 μB/atom
Energy above the lowest structure with this stoichiometry: 0.000 eV/f.u.
Calculated formation energy: 0.520 eV/atom

Cell lengths 4.389, 4.389, 4.389 Å; angles 90.00, 90.00, 90.00 degrees
Element x y z (fractional)
1 Ni 0.000 0.500 0.000
2 Ni 0.000 0.000 0.500
3 Ni 0.500 0.000 0.000
4 Tl 0.500 0.500 0.500
5 Ga 0.000 0.000 0.000

(2)
Tl2GaNi | GGA-PBE | optimized geometry

Results
Space-group type: I-42d (122)
ρ: 8.58 g/cm3
Spin magnetization: 0.00 μB/atom
Calculated formation energy: 0.128 eV/atom

Cell lengths 9.481, 9.481, 7.092 Å; angles 48.06, 48.06, 90.00 degrees
Element x y z (fractional)
1 Ni 0.500 0.500 0.000
2 Ni 0.250 0.750 0.500
3 Tl 0.478 0.125 0.250
4 Tl 0.272 0.625 0.250
5 Tl 0.375 0.522 0.750
6 Tl 0.875 0.728 0.750
7 Ga 0.000 0.000 0.000
8 Ga 0.750 0.250 0.500

(3)
TlGaNi3 | GGA-PBE | optimized geometry

Results
Space-group type: Pm-3m (221)
ρ: 6.95 g/cm3
Spin magnetization: 0.15 μB/atom
Energy above the lowest structure with this stoichiometry: 3.687 eV/f.u.
Calculated formation energy: 1.258 eV/atom

Cell lengths 4.756, 4.756, 4.756 Å; angles 90.00, 90.00, 90.00 degrees
Last column: magnetic moment on the atom in μB.
Element x y z (fractional)
1 Ni 0.000 0.500 0.000  0.21
2 Ni 0.000 0.000 0.500  0.20
3 Ni 0.500 0.000 0.000  0.26
4 Tl 0.000 0.000 0.000  -0.01
5 Ga 0.500 0.500 0.500  0.04

(4)
TlZn2GaNi | GGA-PBE | optimized geometry

Results
Space-group type: P4/mmm (123)
ρ: 7.53 g/cm3
Spin magnetization: 0.00 μB/atom
Calculated formation energy: 0.018 eV/atom

Cell lengths 4.735, 4.735, 4.564 Å; angles 90.00, 90.00, 90.00 degrees
Element x y z (fractional)
1 Ni 0.000 0.000 0.000
2 Tl 0.500 0.500 0.500
3 Zn 0.000 0.500 0.000
4 Zn 0.500 0.000 0.000
5 Ga 0.000 0.000 0.500